## ZrNb2TcI (PBE)

Data for a relaxed structure of ZrNb2TcI.

Uncorrected formation energy ... 1798 meV/atom

Structure (CIF):
```
data_ZrNb2TcI
_space_group_name_H-M_alt 'P 1'
_space_group_IT_number 1
_cell_length_a 5.087
_cell_length_b 4.794
_cell_length_c 5.087
_cell_angle_alpha 90.00
_cell_angle_beta 90.00
_cell_angle_gamma 90.00
loop_
_space_group_symop_operation_xyz
'x,y,z'
loop_
_atom_site_label
_atom_site_fract_x
_atom_site_fract_y
_atom_site_fract_z
I1 0.500 0.500 0.500
Zr1 0.000 0.000 0.000
Tc1 0.000 0.500 0.000
Nb1 0.000 0.000 0.500
Nb2 0.500 0.000 0.000
```

---

## ZrNbTc2I (PBE)

Data for a relaxed structure of ZrNbTc2I.

Uncorrected formation energy ... 1727 meV/atom

Structure (CIF):
```
data_ZrNbTc2I
_space_group_name_H-M_alt 'P 1'
_space_group_IT_number 1
_cell_length_a 4.743
_cell_length_b 5.123
_cell_length_c 4.743
_cell_angle_alpha 90.00
_cell_angle_beta 90.00
_cell_angle_gamma 90.00
loop_
_space_group_symop_operation_xyz
'x,y,z'
loop_
_atom_site_label
_atom_site_fract_x
_atom_site_fract_y
_atom_site_fract_z
Tc1 0.500 0.000 0.000
Tc2 0.000 0.000 0.500
Nb1 0.500 0.500 0.500
Zr1 0.000 0.500 0.000
I1 0.000 0.000 0.000
```

---

## Nb4Te17I4 (PBE)

Data for a relaxed structure of Nb4Te17I4.

Uncorrected formation energy ... -330 meV/atom

Structure (CIF):
```
data_Nb4Te17I4
_space_group_name_H-M_alt 'P 1'
_space_group_IT_number 1
_cell_length_a 9.269
_cell_length_b 9.269
_cell_length_c 26.864
_cell_angle_alpha 78.12
_cell_angle_beta 78.12
_cell_angle_gamma 57.59
loop_
_space_group_symop_operation_xyz
'x,y,z'
loop_
_atom_site_label
_atom_site_fract_x
_atom_site_fract_y
_atom_site_fract_z
Te1 0.709 0.679 0.133
Te2 0.958 0.879 0.823
Te3 0.935 0.325 0.468
Te4 0.916 0.140 0.598
Te5 0.899 0.640 0.356
Te6 0.221 0.240 0.009
Te7 0.325 0.935 0.968
Te8 0.779 0.760 0.991
Te9 0.121 0.042 0.677
Te10 0.560 0.543 0.593
Te11 0.860 0.084 0.902
Te12 0.481 0.519 0.750
Te13 0.042 0.121 0.177
Te14 0.825 0.374 0.775
Te15 0.101 0.360 0.644
Te16 0.457 0.440 0.907
Te17 0.675 0.065 0.032
Te18 0.321 0.291 0.367
Te19 0.240 0.221 0.509
Te20 0.084 0.860 0.402
Te21 0.640 0.899 0.856
Te22 0.679 0.709 0.633
Te23 0.879 0.958 0.323
Te24 0.360 0.101 0.144
Te25 0.543 0.560 0.093
Te26 0.519 0.481 0.250
Te27 0.626 0.175 0.725
Te28 0.175 0.626 0.225
Te29 0.440 0.457 0.407
Te30 0.760 0.779 0.491
Te31 0.374 0.825 0.275
Te32 0.065 0.675 0.532
Te33 0.291 0.321 0.867
Te34 0.140 0.916 0.098
I1 0.227 0.538 0.053
I2 0.903 0.796 0.706
I3 0.462 0.773 0.447
I4 0.538 0.227 0.553
I5 0.204 0.097 0.794
I6 0.773 0.462 0.947
I7 0.796 0.903 0.206
I8 0.097 0.204 0.294
Nb1 0.089 0.533 0.443
Nb2 0.363 0.789 0.171
Nb3 0.467 0.911 0.057
Nb4 0.911 0.467 0.557
Nb5 0.789 0.363 0.671
Nb6 0.637 0.211 0.829
Nb7 0.533 0.089 0.943
Nb8 0.211 0.637 0.329
```

---

## Nb3TeI (PBE)

Data for a relaxed structure of Nb3TeI.

Offset from the most stable computed form ... 0.000 eV per atom
Uncorrected formation energy ... 1426 meV/atom

Structure (CIF):
```
data_Nb3TeI
_space_group_name_H-M_alt 'P 1'
_space_group_IT_number 1
_cell_length_a 5.119
_cell_length_b 5.119
_cell_length_c 5.119
_cell_angle_alpha 90.00
_cell_angle_beta 90.00
_cell_angle_gamma 90.00
loop_
_space_group_symop_operation_xyz
'x,y,z'
loop_
_atom_site_label
_atom_site_fract_x
_atom_site_fract_y
_atom_site_fract_z
Te1 0.000 0.000 0.000
Nb1 0.000 0.000 0.500
Nb2 0.500 0.000 0.000
Nb3 0.000 0.500 0.000
I1 0.500 0.500 0.500
```

---

## NbTe4I6 (PBE)

Data for a relaxed structure of NbTe4I6.

Uncorrected formation energy ... -266 meV/atom

Structure (CIF):
```
data_NbTe4I6
_space_group_name_H-M_alt 'P 1'
_space_group_IT_number 1
_cell_length_a 8.365
_cell_length_b 11.708
_cell_length_c 12.500
_cell_angle_alpha 112.55
_cell_angle_beta 109.59
_cell_angle_gamma 95.31
loop_
_space_group_symop_operation_xyz
'x,y,z'
loop_
_atom_site_label
_atom_site_fract_x
_atom_site_fract_y
_atom_site_fract_z
Te1 0.782 0.548 0.661
Te2 0.218 0.452 0.339
Te3 0.480 0.778 0.382
Te4 0.582 0.833 0.803
Te5 0.278 0.484 0.577
Te6 0.722 0.516 0.423
Te7 0.418 0.167 0.197
Te8 0.520 0.222 0.618
I1 0.298 0.275 0.747
I2 0.836 0.344 0.841
I3 0.665 0.238 0.113
I4 0.205 0.116 0.351
I5 0.133 0.199 0.020
I6 0.702 0.725 0.253
I7 0.867 0.801 0.980
I8 0.164 0.656 0.159
I9 0.272 0.818 0.559
I10 0.795 0.884 0.649
I11 0.335 0.762 0.887
I12 0.728 0.182 0.441
Nb1 0.486 0.355 0.457
Nb2 0.514 0.645 0.543
```

---

## NbTe4I (PBE)

Data for a relaxed structure of NbTe4I.

Uncorrected formation energy ... -176 meV/atom

Structure (CIF):
```
data_NbTe4I
_space_group_name_H-M_alt 'P 1'
_space_group_IT_number 1
_cell_length_a 6.400
_cell_length_b 8.113
_cell_length_c 9.265
_cell_angle_alpha 115.96
_cell_angle_beta 92.55
_cell_angle_gamma 90.00
loop_
_space_group_symop_operation_xyz
'x,y,z'
loop_
_atom_site_label
_atom_site_fract_x
_atom_site_fract_y
_atom_site_fract_z
Te1 0.713 0.315 0.629
Te2 0.287 0.685 0.371
Te3 0.547 0.380 0.201
Te4 0.453 0.620 0.799
Te5 0.000 0.768 0.000
Te6 0.453 0.179 0.799
Te7 0.547 0.821 0.201
Te8 0.000 0.232 0.000
Nb1 0.260 0.511 0.022
Nb2 0.740 0.489 0.978
I1 0.105 0.195 0.390
I2 0.895 0.805 0.610
```

---

## NbTe3I (PBE)

Data for a relaxed structure of NbTe3I.

Offset from the most stable computed form ... 1.669 eV per atom
Uncorrected formation energy ... 1380 meV/atom

Structure (CIF):
```
data_NbTe3I
_space_group_name_H-M_alt 'P 1'
_space_group_IT_number 1
_cell_length_a 5.747
_cell_length_b 5.747
_cell_length_c 5.747
_cell_angle_alpha 90.00
_cell_angle_beta 90.00
_cell_angle_gamma 90.00
loop_
_space_group_symop_operation_xyz
'x,y,z'
loop_
_atom_site_label
_atom_site_fract_x
_atom_site_fract_y
_atom_site_fract_z
Te1 0.500 0.000 0.000
Te2 0.000 0.000 0.500
Te3 0.000 0.500 0.000
I1 0.000 0.000 0.000
Nb1 0.500 0.500 0.500
```

---

## NbTe3I (PBE)

Data for a relaxed structure of NbTe3I.

Offset from the most stable computed form ... 0.000 eV per atom
Uncorrected formation energy ... -290 meV/atom

Structure (CIF):
```
data_NbTe3I
_space_group_name_H-M_alt 'P 1'
_space_group_IT_number 1
_cell_length_a 6.151
_cell_length_b 12.064
_cell_length_c 12.064
_cell_angle_alpha 77.23
_cell_angle_beta 68.74
_cell_angle_gamma 68.74
loop_
_space_group_symop_operation_xyz
'x,y,z'
loop_
_atom_site_label
_atom_site_fract_x
_atom_site_fract_y
_atom_site_fract_z
Te1 0.981 0.724 0.358
Te2 0.903 0.063 0.180
Te3 0.943 0.298 0.906
Te4 0.403 0.180 0.063
Te5 0.519 0.642 0.276
Te6 0.097 0.937 0.820
Te7 0.019 0.276 0.642
Te8 0.443 0.906 0.298
Te9 0.481 0.358 0.724
Te10 0.597 0.820 0.937
Te11 0.057 0.702 0.094
Te12 0.557 0.094 0.702
Nb1 0.250 0.846 0.154
Nb2 0.750 0.946 0.054
Nb3 0.250 0.054 0.946
Nb4 0.750 0.154 0.846
I1 0.885 0.810 0.585
I2 0.115 0.190 0.415
I3 0.615 0.415 0.190
I4 0.385 0.585 0.810
```

---

uncorrected formation energy of number 1 (ZrNb2TcI)?
1798 meV/atom

---

Which value of uncorrected formation energy does entry 8 give?
-290 meV/atom

---

What is the uncorrected formation energy in the third record?
-330 meV/atom

---

Which of these has the lowest uncorrected formation energy?
Nb4Te17I4